Record 1
An optimized crystal structure of NpTl3Co2Se6, computed with PBE.

Results
raw formation energy	-0.464	eV/atom
symmetry	No. 12
crystal system	monoclinic
total energy	-5.060	eV/atom

a = 6.2498 Å, b = 6.2498 Å, c = 8.7918 Å
α = 97.64°, β = 97.64°, γ = 120.14°
Closest atoms and distances in Å follow each position.
Fractional coordinates of all 12 atoms:
1 Np 0.0000 0.0000 0.0000  6 Se 2.76-2.77
2 Tl 0.1643 0.8357 0.5000  6 Se 3.30-3.66, 6 Tl 3.56-3.64
3 Tl 0.8357 0.1643 0.5000  6 Se 3.30-3.66, 6 Tl 3.56-3.64
4 Tl 0.5000 0.5000 0.5000  6 Se 3.40-3.55, 6 Tl 3.59-3.64
5 Co 0.3334 0.6666 0.0000  6 Se 2.43
6 Co 0.6666 0.3334 0.0000  6 Se 2.43
7 Se 0.9360 0.5581 0.8293  2 Co 2.43
8 Se 0.6855 0.6855 0.1699  2 Co 2.43
9 Se 0.0640 0.4419 0.1707  2 Co 2.43
10 Se 0.5581 0.9360 0.8293  2 Co 2.43
11 Se 0.3145 0.3145 0.8301  2 Co 2.43
12 Se 0.4419 0.0640 0.1707  2 Co 2.43

=====

Record 2
An optimized crystal structure of Cs4AsBr6, computed with PBE.

Results
raw formation energy	-1.281	eV/atom
symmetry	No. 128
crystal system	tetragonal
total energy	-2.926	eV/atom

a = 9.8431 Å, b = 9.8431 Å, c = 9.9679 Å
α = 90.00°, β = 90.00°, γ = 90.00°
Closest atoms and distances in Å follow each position.
Fractional coordinates of all 22 atoms:
1 Cs 0.3374 0.1626 0.2500  6 Br 3.64-3.69
2 Cs 0.1626 0.6626 0.7500  6 Br 3.64-3.69
3 Cs 0.6626 0.8374 0.7500  6 Br 3.64-3.69
4 Cs 0.8374 0.3374 0.7500  6 Br 3.64-3.69
5 Cs 0.3374 0.1626 0.7500  6 Br 3.64-3.69
6 Cs 0.1626 0.6626 0.2500  6 Br 3.64-3.69
7 Cs 0.8374 0.3374 0.2500  6 Br 3.64-3.69
8 Cs 0.6626 0.8374 0.2500  6 Br 3.64-3.69
9 As 0.5000 0.5000 0.0000  2 Br 2.66
10 As 0.0000 0.0000 0.5000  2 Br 2.66
11 Br 0.2996 0.8948 0.5000  1 As 3.13
12 Br 0.7996 0.6052 0.0000  1 As 3.13
13 Br 0.6052 0.2004 0.0000  1 As 3.13
14 Br 0.1052 0.2996 0.5000  1 As 3.13
15 Br 0.0000 0.0000 0.2332  1 As 2.66
16 Br 0.5000 0.5000 0.2668  1 As 2.66
17 Br 0.3948 0.7996 0.0000  1 As 3.13
18 Br 0.0000 0.0000 0.7668  1 As 2.66
19 Br 0.2004 0.3948 0.0000  1 As 3.13
20 Br 0.5000 0.5000 0.7332  1 As 2.66
21 Br 0.8948 0.7004 0.5000  1 As 3.13
22 Br 0.7004 0.1052 0.5000  1 As 3.13